(1)
Density functional theory data (PBE-GGA) for a geometry-optimized TbPr4Sm2Dy2 structure.

Calculated values
**Formation energy**: 19 meV/atom

abc: 15.473 5.157 8.119
angles: 90.00 108.56 90.00
Space group C2/m (No. 12)
Asymmetric unit:
Tb: 0.000 0.000 0.000 (multiplicity 2)
Pr: 0.054 0.500 0.331 (multiplicity 4)
Pr: 0.222 0.000 0.330 (multiplicity 4)
Sm: 0.112 0.000 0.670 (multiplicity 4)
Dy: 0.167 0.500 0.000 (multiplicity 4)

***

(2)
Density functional theory data (PBE-GGA) for a geometry-optimized RuS3Cl8 structure.

Calculated values
**E_form (uncorrected)**: -310 meV/atom

abc: 8.330 8.620 10.959
angles: 103.40 98.52 109.55
Space group P-1 (No. 2)
Asymmetric unit:
Ru: 0.114 0.148 0.169 (multiplicity 2)
S: 0.035 0.350 0.286 (multiplicity 2)
S: 0.314 0.319 0.089 (multiplicity 2)
S: 0.321 0.181 0.340 (multiplicity 2)
Cl: 0.041 0.537 0.195 (multiplicity 2)
Cl: 0.103 0.877 0.027 (multiplicity 2)
Cl: 0.132 0.030 0.768 (multiplicity 2)
Cl: 0.216 0.505 0.461 (multiplicity 2)
Cl: 0.222 0.087 0.483 (multiplicity 2)
Cl: 0.455 0.025 0.288 (multiplicity 2)
Cl: 0.485 0.541 0.236 (multiplicity 2)
Cl: 0.500 0.223 0.040 (multiplicity 2)

***

(3)
Density functional theory data (PBE-GGA) for a geometry-optimized BaCaLa2Cu structure.

Calculated values
**Formation energy**: 73 meV/atom

abc: 5.803 5.803 5.868
angles: 90.00 90.00 90.00
Space group P4/mmm (No. 123)
Asymmetric unit:
Ba: 0.000 0.000 0.000 (multiplicity 1)
Ca: 0.500 0.500 0.000 (multiplicity 1)
La: 0.000 0.500 0.500 (multiplicity 2)
Cu: 0.500 0.500 0.500 (multiplicity 1)

***

Computed V (Å³ per cell) in order:
614.12; 699.15; 197.58
Computed magnetic moment (μB/f.u.) in order:
0.00; 0.00; 0.00